First-principles (PBE) data for a relaxed structure of NiSn2Bi, as listed in the Open Quantum Materials Database.

abc: 5.1242 5.1242 5.1242
angles: 60.00 60.00 60.00
Last column: nearest neighbours and their distance in Å.
Fractional coordinates of all 4 atoms:
Sn 0.7500 0.7500 0.7500  4 Sn 3.14, 4 Ni 3.14
Ni 0.0000 0.0000 0.0000  4 Bi 3.14, 4 Sn 3.14
Bi 0.2500 0.2500 0.2500  4 Ni 3.14, 4 Sn 3.14
Sn 0.5000 0.5000 0.5000  4 Sn 3.14, 4 Bi 3.14

Properties
Symmetry: F-43m, No. 216
DFT total energy (eV per atom): -4.067

***

First-principles (PBE) data for a relaxed structure of LiSmNiS3, as listed in the Open Quantum Materials Database.

abc: 6.2032 6.2032 10.6372
angles: 90.00 90.00 35.85
Last column: nearest neighbours and their distance in Å.
Fractional coordinates of all 12 atoms:
S 0.6459 0.6459 0.0954  1 Ni 2.27
S 0.0860 0.0860 0.7500  2 Ni 2.24
Sm 0.0000 0.0000 0.5000  6 S 2.76-2.85
Li 0.2276 0.2276 0.2500  6 S 2.70-2.91
Ni 0.5140 0.5140 0.2500  4 S 2.24-2.27
S 0.3541 0.3541 0.5954  1 Ni 2.27
S 0.3541 0.3541 0.9046  1 Ni 2.27
Li 0.7724 0.7724 0.7500  6 S 2.70-2.91
S 0.6459 0.6459 0.4046  1 Ni 2.27
Ni 0.4860 0.4860 0.7500  4 S 2.24-2.27
S 0.9140 0.9140 0.2500  2 Ni 2.24
Sm 0.0000 0.0000 0.0000  6 S 2.76-2.85

Properties
Symmetry: Cmcm, No. 63
DFT total energy (eV per atom): -5.256

***

First-principles (PBE) data for a relaxed structure of TaCuMoW, as listed in the Open Quantum Materials Database.

abc: 4.4512 4.4512 4.4512
angles: 60.00 60.00 60.00
Last column: nearest neighbours and their distance in Å.
Fractional coordinates of all 4 atoms:
Mo 0.0000 0.0000 0.0000  4 Cu 2.73, 4 W 2.73
Ta 0.5000 0.5000 0.5000  4 Cu 2.73, 4 W 2.73
Cu 0.7500 0.7500 0.7500  4 Mo 2.73, 4 Ta 2.73
W 0.2500 0.2500 0.2500  4 Ta 2.73, 4 Mo 2.73

Properties
DFT formation energy (eV/atom): 0.21
Symmetry: F-43m, No. 216
Energy relative to the lowest polymorph listed for this composition (meV/atom): 0

***

First-principles (PBE) data for a relaxed structure of Lu4Sc2Ge3C3, as listed in the Open Quantum Materials Database.

abc: 5.9668 5.9792 14.6230
angles: 78.43 78.23 60.07
Last column: nearest neighbours and their distance in Å.
Fractional coordinates of all 24 atoms:
Sc 0.6425 0.8056 0.0795  3 C 2.28-2.30
Lu 0.1972 0.3622 0.4047  3 C 2.39-2.42
Ge 0.8430 0.7500 0.2500  2 Ge 2.67, 2 Sc 2.87
C 0.3328 0.8330 0.0000  2 Sc 2.30, 4 Lu 2.39-2.42
Lu 0.8695 0.0264 0.4049  3 C 2.39-2.42
Ge 0.5823 0.4937 0.2508  2 Ge 2.65-2.67, 2 Sc 2.86-2.88
Sc 0.3575 0.1944 0.9205  3 C 2.28-2.30
C 0.5000 0.0000 0.5000  2 Sc 2.28, 4 Lu 2.41
Ge 0.3267 0.0063 0.2492  2 Ge 2.65-2.67, 2 Sc 2.86-2.88
Lu 0.9641 0.1378 0.0952  3 C 2.39-2.42
Lu 0.0359 0.8622 0.9048  3 C 2.39-2.42
C 0.0000 0.5000 0.0000  2 Sc 2.28, 4 Lu 2.41
Lu 0.8028 0.6378 0.5953  3 C 2.39-2.42
C 0.1658 0.6670 0.5001  2 Sc 2.30, 4 Lu 2.39-2.42
Lu 0.1305 0.9736 0.5951  3 C 2.39-2.42
Sc 0.5276 0.6944 0.4205  3 C 2.28-2.30
Ge 0.4177 0.5063 0.7492  2 Ge 2.65-2.67, 2 Sc 2.86-2.88
Lu 0.6991 0.5264 0.9049  3 C 2.39-2.42
Sc 0.4724 0.3056 0.5795  3 C 2.28-2.30
Lu 0.3009 0.4736 0.0951  3 C 2.39-2.42
Ge 0.1570 0.2500 0.7500  2 Ge 2.67, 2 Sc 2.87
C 0.8342 0.3330 0.4999  2 Sc 2.30, 4 Lu 2.39-2.42
Ge 0.6733 0.9937 0.7508  2 Ge 2.65-2.67, 2 Sc 2.86-2.88
C 0.6672 0.1670 0.0000  2 Sc 2.30, 4 Lu 2.39-2.42

Properties
Symmetry: C2/c, No. 15
DFT total energy (eV per atom): -6.659

***

First-principles (PBE) data for a relaxed structure of CsGd2Cu3Te4Se, as listed in the Open Quantum Materials Database.

abc: 8.0827 8.0827 18.2201
angles: 90.00 90.00 148.81
Last column: nearest neighbours and their distance in Å.
Fractional coordinates of all 22 atoms:
Cu 0.9166 0.0834 0.0227  4 Te 2.63-2.80, 1 Cu 2.73
Te 0.6629 0.3371 0.9301  2 Cu 2.64
Cu 0.1632 0.8368 0.2500  2 Se 2.46
Te 0.3371 0.6629 0.0699  2 Cu 2.64
Gd 0.6948 0.3052 0.4030  1 Se 2.86, 5 Te 3.08-3.14
Se 0.7371 0.2629 0.2500  2 Cu 2.46
Te 0.0564 0.9436 0.3805  3 Cu 2.63-2.90
Cu 0.0834 0.9166 0.5227  4 Te 2.63-2.80, 1 Cu 2.73
Cu 0.0834 0.9166 0.9773  4 Te 2.63-2.80, 1 Cu 2.73
Cu 0.8368 0.1632 0.7500  2 Se 2.46
Gd 0.3052 0.6948 0.9030  1 Se 2.86, 5 Te 3.08-3.14
Te 0.3371 0.6629 0.4301  2 Cu 2.64
Cs 0.5688 0.4312 0.7500  6 Te 3.59-3.76, 2 Se 3.72
Gd 0.3052 0.6948 0.5970  1 Se 2.86, 5 Te 3.08-3.14
Te 0.9436 0.0564 0.8805  3 Cu 2.63-2.90
Te 0.0564 0.9436 0.1195  3 Cu 2.63-2.90
Gd 0.6948 0.3052 0.0970  1 Se 2.86, 5 Te 3.08-3.14
Cs 0.4312 0.5688 0.2500  6 Te 3.59-3.76, 2 Se 3.72
Te 0.6629 0.3371 0.5699  2 Cu 2.64
Te 0.9436 0.0564 0.6195  3 Cu 2.63-2.90
Se 0.2629 0.7371 0.7500  2 Cu 2.46
Cu 0.9166 0.0834 0.4773  4 Te 2.63-2.80, 1 Cu 2.73

Properties
Symmetry: Cmcm, No. 63
DFT total energy (eV per atom): -4.301

***

First-principles (PBE) data for a relaxed structure of NiIr2Pb, as listed in the Open Quantum Materials Database.

abc: 4.4874 4.4874 4.4874
angles: 60.00 60.00 60.00
Last column: nearest neighbours and their distance in Å.
Fractional coordinates of all 4 atoms:
Pb 0.5000 0.5000 0.5000  4 Ir 2.75, 4 Ni 2.75
Ni 0.2500 0.2500 0.2500  4 Pb 2.75, 4 Ir 2.75
Ir 0.7500 0.7500 0.7500  4 Pb 2.75, 4 Ir 2.75
Ir 0.0000 0.0000 0.0000  4 Ir 2.75, 4 Ni 2.75

Properties
Symmetry: F-43m, No. 216
DFT total energy (eV per atom): -6.241